DFT (PBE) results for a relaxed Pd2AuF8 crystal.

Cell and atoms, written as POSCAR:
```
Pd2AuF8
1.0
5.323 0.204 0.143
0.971 5.735 -0.520
0.971 1.485 5.564
F Au Pd
8 1 2
Cartesian
5.220 3.343 5.338
1.700 1.545 1.079
5.220 6.162 1.302
2.387 3.994 2.790
4.878 3.431 2.396
2.045 4.082 -0.151
5.564 5.880 4.107
2.045 1.263 3.884
0.000 0.000 0.000
3.996 4.983 3.481
3.269 2.442 1.706
```

Properties
- Total DFT energy (no corrections): -3.617 eV/atom
- SG: C2/m (12)
- E above lowest polymorph: 0.075 eV per atom
- Uncorrected formation energy: -1014 meV per atom